Material: Cr2Se
Method: DFT, PBE-GGA
State: relaxed

Structure (extended XYZ):
```
9
Lattice="0.0967 2.5325 -5.8191 -1.5106 3.6011 5.0035 3.6536 0.9025 0.4535" Properties=species:S:1:pos:R:3 pbc="T T T"
Cr 0.9177 2.6184 3.2378
Cr 1.8850 1.9753 -3.2752
Cr 0.0242 0.6350 -1.4590
Cr 1.2637 2.8937 -0.0980
Cr -1.0594 4.5957 -0.6111
Cr -0.3788 0.9029 1.2545
Se 1.8268 0.4513 0.2267
Se -0.4391 2.8887 -2.2116
Se -0.9749 3.2449 1.3960
```

Calculated values
- Fermi-level density of states: 0.69 states/eV/atom
- Energy relative to the elements, uncorrected: 0.099 eV per atom
- Crystal system: hexagonal
- Total energy: -7.48 eV/atom